The following is a PBE calculation of a geometry-optimized ThZrSnHg structure, from Alexandria via LeMat-Bulk.

```
data_ThZrSnHg
_chemical_formula_sum 'Th4 Zr4 Sn4 Hg4'
_symmetry_space_group_name_H-M 'F -4 3 m'
_symmetry_Int_Tables_number 216
_symmetry_space_group_name_Hall 'F -4 2 3'
_cell_length_a 7.4339
_cell_length_b 7.4339
_cell_length_c 7.4339
_cell_angle_alpha 90.00
_cell_angle_beta 90.00
_cell_angle_gamma 90.00
loop_
_atom_site_label
_atom_site_fract_x
_atom_site_fract_y
_atom_site_fract_z
Th1 0.0000 0.0000 0.0000
Zr1 0.0000 0.0000 0.5000
Sn1 0.2500 0.2500 0.7500
Hg1 0.2500 0.2500 0.2500
```

Values from the calculation:
The value obtained for the energy of formation from the pure elements is -226 meV per atom. The crystal system is cubic.